An optimized crystal structure of AcNbAs2. Source: Alexandria via LeMat-Bulk, functional PBE-GGA.

Cell lengths 3.457, 3.457, 7.318 Å; angles 90.00, 90.00, 90.00 degrees
Space group P4/mmm (No. 123)
One atom of each set of equivalent atoms:
Ac: 0.000 0.000 0.000 [1 per cell]
Nb: 0.000 0.000 0.500 [1 per cell]
As: 0.500 0.500 0.301 [2 per cell]

DFT total energy (eV per atom): -6.470
Calculated formation energy (eV/atom): -0.601
Spin magnetization (μB/cell): 0.00

=====

An optimized crystal structure of LiPrEr2Tl4. Source: Alexandria via LeMat-Bulk, functional PBE-GGA.

Cell lengths 5.2628, 5.2628, 26.8441 Å; angles 90.00, 90.00, 120.00 degrees
Space group R-3m (No. 166, hexagonal axes)
One atom of each set of equivalent atoms:
Li: 0.0000 0.0000 0.0000 [3 per cell]
Pr: 0.0000 0.0000 0.5000 [3 per cell]
Er: 0.0000 0.0000 0.2548 [6 per cell]
Tl: 0.0000 0.0000 0.1199 [6 per cell]
Tl: 0.0000 0.0000 0.3714 [6 per cell]

DFT total energy (eV per atom): -3.477
Calculated formation energy (eV/atom): -0.316
Spin magnetization (μB/cell): 0.00

=====

An optimized crystal structure of Tc3Hg4. Source: Alexandria via LeMat-Bulk, functional PBE-GGA.

Cell lengths 5.3238, 5.3238, 5.4188 Å; angles 90.00, 90.00, 120.00 degrees
Space group P6/mmm (No. 191)
One atom of each set of equivalent atoms:
Tc: 0.0000 0.5000 0.0000 [3 per cell]
Hg: 0.0000 0.0000 0.2514 [2 per cell]
Hg: 0.3333 0.6667 0.5000 [2 per cell]

DFT total energy (eV per atom): -3.937
Calculated formation energy (eV/atom): 0.678
Spin magnetization (μB/cell): 0.00

=====

An optimized crystal structure of NdEuTh. Source: Alexandria via LeMat-Bulk, functional PBE-GGA.

Cell lengths 3.657, 3.657, 15.962 Å; angles 90.00, 90.00, 90.00 degrees
Space group I4mm (No. 107)
One atom of each set of equivalent atoms:
Nd: 0.000 0.000 0.000 [2 per cell]
Eu: 0.000 0.000 0.317 [2 per cell]
Th: 0.000 0.000 0.651 [2 per cell]

DFT total energy (eV per atom): -7.401
Calculated formation energy (eV/atom): 0.087
Spin magnetization (μB/cell): 15.69

=====

An optimized crystal structure of Co2PPt. Source: Alexandria via LeMat-Bulk, functional PBE-GGA.

Cell lengths 2.790, 3.600, 5.072 Å; angles 90.00, 104.19, 90.00 degrees
Space group P2/m (No. 10)
One atom of each set of equivalent atoms:
Co: 0.143 0.000 0.286 [2 per cell]
P: 0.500 0.500 0.500 [1 per cell]
Pt: 0.500 0.500 0.000 [1 per cell]

DFT total energy (eV per atom): -6.590
Calculated formation energy (eV/atom): -0.175
Spin magnetization (μB/cell): 2.07

=====

An optimized crystal structure of Ho2ZnCd2. Source: Alexandria via LeMat-Bulk, functional PBE-GGA.

Cell lengths 3.516, 20.376, 3.458 Å; angles 90.00, 90.00, 90.00 degrees
Space group Cmmm (No. 65)
One atom of each set of equivalent atoms:
Ho: 0.000 0.087 0.000 [4 per cell]
Zn: 0.000 0.500 0.500 [2 per cell]
Cd: 0.000 0.308 0.500 [4 per cell]

DFT total energy (eV per atom): -2.662
Calculated formation energy (eV/atom): -0.210
Spin magnetization (μB/cell): 0.00